Entry 1:
DFT (PBE) results for a relaxed structure of RbTbDy.

Cell and atoms, written as POSCAR:
```
RbTbDy
1.0
0.0000 4.2064 4.2064
4.2064 0.0000 4.2064
4.2064 4.2064 0.0000
Rb Dy Tb
1 1 1
direct
0.2500 0.2500 0.2500 Rb
0.0000 0.0000 0.0000 Dy
0.7500 0.7500 0.7500 Tb
```

Results
Space-group type: No. 216
Size of the total moment: 1.67 μB per formula unit

***

Entry 2:
DFT (PBE) results for a relaxed structure of Er2AlRe3.

Cell and atoms, written as POSCAR:
```
Er2AlRe3
1.0
-3.8228 -3.5865 0.9697
3.9024 -1.1309 -3.4510
4.9162 -3.4330 6.6843
Al Re Er
2 6 4
direct
0.0000 0.0000 0.5000 Al
0.0000 0.0000 0.0000 Al
0.8295 0.6589 0.7500 Re
0.1705 0.3411 0.2500 Re
0.6589 0.8295 0.2500 Re
0.8295 0.1705 0.7500 Re
0.3411 0.1705 0.7500 Re
0.1705 0.8295 0.2500 Re
0.3333 0.6667 0.9328 Er
0.6667 0.3333 0.4328 Er
0.3333 0.6667 0.5672 Er
0.6667 0.3333 0.0672 Er
```

Results
Space-group type: No. 194
Size of the total moment: 0.01 μB per formula unit

***

Record-wise VASP energy values, in eV per formula unit: -6.45; -52.18